TaCl3 after structural relaxation, computed with PBE.

Cell: 4.8544 4.8544 4.8544 Å, 90.00 90.00 90.00°
Space group Pm-3m (No. 221)
Symmetry-distinct sites (fractional):
Ta1 0.0000 0.0000 0.0000 x1
Cl1 0.0000 0.0000 0.5000 x3

ΔE_f (raw) (kcal/mol of atoms): -19.77
D(E_F) (states/eV/atom): 0.67
Crystal system: cubic

***

YCdIn after structural relaxation, computed with PBE.

Cell: 4.5473 4.6479 14.3744 Å, 90.00 90.00 90.00°
Space group Amm2 (No. 38)
Symmetry-distinct sites (fractional):
Y1 0.0000 0.0000 0.0000 x2
Y2 0.0000 0.0000 0.3143 x2
Cd1 0.0000 0.0000 0.6545 x2
Cd2 0.5000 0.0000 0.4884 x2
In1 0.5000 0.0000 0.1569 x2
In2 0.5000 0.0000 0.8291 x2

Energy relative to the elements (eV per atom): -0.372
D(E_F) (states/eV/atom): 0.72
Crystal system: orthorhombic

***

Dy5C2Br9 after structural relaxation, computed with PBE.

Cell: 10.4144 16.6006 13.6295 Å, 90.00 122.62 90.00°
Space group P2_1/c (No. 14)
Symmetry-distinct sites (fractional):
Dy1 0.0094 0.1600 0.2193 x4
Dy2 0.0171 0.5578 0.7629 x4
Dy3 0.1609 0.5359 0.5339 x4
Dy4 0.2011 0.1888 0.0547 x4
Dy5 0.3532 0.0607 0.3124 x4
C1 0.0742 0.0299 0.1688 x4
C2 0.1233 0.0893 0.1191 x4
Br1 0.0820 0.1933 0.6370 x4
Br2 0.0836 0.5632 0.1562 x4
Br3 0.0849 0.7033 0.6749 x4
Br4 0.2818 0.6669 0.4703 x4
Br5 0.2866 0.0745 0.9412 x4
Br6 0.2956 0.1818 0.4376 x4
Br7 0.3244 0.5584 0.9585 x4
Br8 0.4618 0.5568 0.7359 x4
Br9 0.4892 0.1851 0.2535 x4

ΔE_f (raw) (kcal/mol of atoms): -36.38
Crystal system: monoclinic

***

Question: Number 2 is which compound?
Answer: YCdIn